DFT (PBE) results for a relaxed structure of Pm3Mg7Pd4.

```
Pm3Mg7Pd4
1.0
-3.426 0.672 2.761
-6.518 -3.736 -3.592
-1.074 -8.070 4.218
Mg Pd Pm
7 4 3
Direct
0.321 0.845 0.513 Mg
0.515 0.771 0.200 Mg
0.679 0.155 0.487 Mg
0.000 0.000 0.000 Mg
0.167 0.595 0.071 Mg
0.485 0.229 0.800 Mg
0.833 0.405 0.929 Mg
0.666 0.431 0.237 Pd
0.893 0.891 0.322 Pd
0.107 0.109 0.678 Pd
0.334 0.569 0.763 Pd
0.000 0.500 0.500 Pm
0.304 0.180 0.213 Pm
0.696 0.820 0.787 Pm
```

Electronic total energy in eV per cell: -53.53
ΔE_f in meV per atom: -524
M_tot in Bohr magnetons per cell: 0.000